# CaCeMgPb (PBE-GGA, optimized geometry)
data_CaCeMgPb
_symmetry_space_group_name_H-M 'F -4 3 m'
_symmetry_Int_Tables_number 216
_symmetry_space_group_name_Hall 'F -4 2 3'
_cell_length_a 7.799
_cell_length_b 7.799
_cell_length_c 7.799
_cell_angle_alpha 90.00
_cell_angle_beta 90.00
_cell_angle_gamma 90.00
loop_
_atom_site_label
_atom_site_fract_x
_atom_site_fract_y
_atom_site_fract_z
Ca1 0.000 0.000 0.000
Ce1 0.000 0.000 0.500
Mg1 0.250 0.250 0.250
Pb1 0.250 0.250 0.750
# Formation energy ... -0.24 eV per atom



# Tl4HgPd2 (PBE-GGA, optimized geometry)
data_Tl4HgPd2
_symmetry_space_group_name_H-M 'R -3 m'
_symmetry_Int_Tables_number 166
_symmetry_space_group_name_Hall '-R 3 2"'
_cell_length_a 4.7410
_cell_length_b 4.7410
_cell_length_c 28.6484
_cell_angle_alpha 90.00
_cell_angle_beta 90.00
_cell_angle_gamma 120.00
loop_
_atom_site_label
_atom_site_fract_x
_atom_site_fract_y
_atom_site_fract_z
Tl1 0.0000 0.0000 0.1029
Tl2 0.0000 0.0000 0.3000
Hg1 0.0000 0.0000 0.5000
Pd1 0.0000 0.0000 0.4020
# Formation energy ... -0.08 eV per atom



| no. | total magnetic moment (μB per atom) |
| --- | --- |
| 1 | 0.345 |
| 2 | 0.000 |